## MgInNiHg (PBE-GGA)

Data for a geometry-optimized MgInNiHg structure.

Properties
VASP energy = -0.186 Ry per atom
Volume = 18.1 Å³/atom

Geometry as CIF:
```
data_MgInNiHg
_chemical_formula_sum 'Mg4 In4 Ni4 Hg4'
_cell_length_a 6.620
_cell_length_b 6.620
_cell_length_c 6.620
_cell_angle_alpha 90.00
_cell_angle_beta 90.00
_cell_angle_gamma 90.00
_symmetry_space_group_name_H-M 'F -4 3 m'
_symmetry_Int_Tables_number 216
_symmetry_space_group_name_Hall 'F -4 2 3'
loop_
_atom_site_label
_atom_site_type_symbol
_atom_site_fract_x
_atom_site_fract_y
_atom_site_fract_z
Mg1 Mg 0.000 0.000 0.000
In1 In 0.250 0.250 0.250
Ni1 Ni 0.000 0.000 0.500
Hg1 Hg 0.250 0.250 0.750
```



## SmDyHo2Ga2 (PBE-GGA)

Data for a geometry-optimized SmDyHo2Ga2 structure.

Properties
VASP energy = -0.329 Ry per atom
Volume = 25.5 Å³/atom

Geometry as CIF:
```
data_SmDyHo2Ga2
_chemical_formula_sum 'Sm1 Dy1 Ho2 Ga2'
_cell_length_a 5.1721
_cell_length_b 5.1721
_cell_length_c 6.6127
_cell_angle_alpha 90.00
_cell_angle_beta 90.00
_cell_angle_gamma 120.00
_symmetry_space_group_name_H-M 'P -6 m 2'
_symmetry_Int_Tables_number 187
_symmetry_space_group_name_Hall 'P -6 2'
loop_
_atom_site_label
_atom_site_type_symbol
_atom_site_fract_x
_atom_site_fract_y
_atom_site_fract_z
Sm1 Sm 0.0000 0.0000 0.0000
Dy1 Dy 0.6667 0.3333 0.5000
Ho1 Ho 0.3333 0.6667 0.2530
Ga1 Ga 0.0000 0.0000 0.5000
Ga2 Ga 0.6667 0.3333 0.0000
```



## GdReGe (PBE-GGA)

Data for a geometry-optimized GdReGe structure.

Properties
VASP energy = -0.514 Ry per atom
Volume = 21.2 Å³/atom

Geometry as CIF:
```
data_GdReGe
_chemical_formula_sum 'Gd4 Re4 Ge4'
_cell_length_a 6.333
_cell_length_b 6.333
_cell_length_c 6.333
_cell_angle_alpha 90.00
_cell_angle_beta 90.00
_cell_angle_gamma 90.00
_symmetry_space_group_name_H-M 'F -4 3 m'
_symmetry_Int_Tables_number 216
_symmetry_space_group_name_Hall 'F -4 2 3'
loop_
_atom_site_label
_atom_site_type_symbol
_atom_site_fract_x
_atom_site_fract_y
_atom_site_fract_z
Gd1 Gd 0.000 0.000 0.000
Re1 Re 0.000 0.000 0.500
Ge1 Ge 0.250 0.250 0.250
```



## ZrTc2Bi (PBE-GGA)

Data for a geometry-optimized ZrTc2Bi structure.

Properties
VASP energy = -0.582 Ry per atom
Volume = 18.7 Å³/atom

Geometry as CIF:
```
data_ZrTc2Bi
_chemical_formula_sum 'Zr4 Tc8 Bi4'
_cell_length_a 6.694
_cell_length_b 6.694
_cell_length_c 6.694
_cell_angle_alpha 90.00
_cell_angle_beta 90.00
_cell_angle_gamma 90.00
_symmetry_space_group_name_H-M 'F -4 3 m'
_symmetry_Int_Tables_number 216
_symmetry_space_group_name_Hall 'F -4 2 3'
loop_
_atom_site_label
_atom_site_type_symbol
_atom_site_fract_x
_atom_site_fract_y
_atom_site_fract_z
Zr1 Zr 0.000 0.000 0.000
Tc1 Tc 0.000 0.000 0.500
Tc2 Tc 0.250 0.250 0.250
Bi1 Bi 0.250 0.250 0.750
```